This record from Alexandria via LeMat-Bulk describes a relaxed Rb2LiZnF6 crystal. The functional is PBE.

Unit cell a=5.8936 b=5.8936 c=5.8954 alpha=60.01 beta=60.01 gamma=90.00
With the nearest neighbours (Å) after each atom.
Fractional positions:
1 Zn 0.0000 0.0000 0.0000  6 F 2.01
2 Li 0.5000 0.5000 0.0000  6 F 2.16
3 Rb 0.7500 0.2500 0.5000  12 F 2.95
4 Rb 0.2500 0.7500 0.5000  12 F 2.95
5 F 0.2406 0.2406 0.5187  1 Zn 2.01, 1 Li 2.16
6 F 0.7594 0.7594 0.4813  1 Zn 2.01, 1 Li 2.16
7 F 0.2410 0.2410 0.0000  1 Zn 2.01, 1 Li 2.16
8 F 0.7590 0.7590 0.0000  1 Zn 2.01, 1 Li 2.16
9 F 0.7590 0.2410 0.0000  1 Zn 2.01, 1 Li 2.16
10 F 0.2410 0.7590 0.0000  1 Zn 2.01, 1 Li 2.16

Output
Its energy is -4.065 eV/atom. For the magnetic moment, the calculation gives 1.0 μB per formula unit. Its density of states at the Fermi level is 4.71 states/eV per cell.